The following is a DFT calculation (PBE-GGA) of a geometry-optimized BaNiSb structure.

Geometry as extended XYZ:
```
12
Lattice="5.214 0.000 0.000 0.000 9.919 0.000 0.000 0.000 6.842" Properties=species:S:1:pos:R:3 pbc="T T T"
Ba 0.000 0.000 0.000
Ba 0.000 4.960 0.000
Ba 2.607 0.000 3.421
Ba 2.607 4.960 3.421
Ni 1.304 2.480 1.710
Ni 1.304 7.439 5.131
Ni 3.911 2.480 1.710
Ni 3.911 7.439 5.131
Sb 0.000 2.480 3.863
Sb 0.000 7.439 2.979
Sb 2.607 2.480 6.400
Sb 2.607 7.439 0.442
```

Summary:
VASP energy = -52.8 eV per cell
M_tot = 0.0 μB per formula unit
N(E_F) = 16.5 states/eV/cell